[1]
This record from the Alexandria database describes crystalline La3Y2Tl3 at its relaxed geometry. The functional is PBE-GGA.

```
data_La3Y2Tl3
_chemical_formula_sum 'La6 Y4 Tl6'
_cell_length_a 6.8143
_cell_length_b 9.3625
_cell_length_c 9.3625
_cell_angle_alpha 120.00
_cell_angle_beta 90.00
_cell_angle_gamma 90.00
_space_group_name_H-M_alt 'P 1'
_space_group_IT_number 1
loop_
_space_group_symop_operation_xyz
'x,y,z'
loop_
_atom_site_label
_atom_site_fract_x
_atom_site_fract_y
_atom_site_fract_z
_atom_site_occupancy
Y1 0.0000 0.6667 0.3333 1
Y2 0.0000 0.3333 0.6667 1
Y3 0.5000 0.3333 0.6667 1
Y4 0.5000 0.6667 0.3333 1
Tl1 0.7500 0.4052 0.4052 1
Tl2 0.2500 0.4052 0.0000 1
Tl3 0.2500 0.5948 0.5948 1
Tl4 0.2500 0.0000 0.4052 1
Tl5 0.7500 0.5948 0.0000 1
Tl6 0.7500 0.0000 0.5948 1
La1 0.2500 0.0000 0.7576 1
La2 0.2500 0.7576 0.0000 1
La3 0.7500 0.7576 0.7576 1
La4 0.7500 0.0000 0.2424 1
La5 0.2500 0.2424 0.2424 1
La6 0.7500 0.2424 0.0000 1
```

Results
ΔE to the lowest computed polymorph = 0.000 eV per formula unit
Energy relative to the elements = -338 meV per atom

[2]
This record from the Alexandria database describes crystalline Pm4RuSe2Cl at its relaxed geometry. The functional is PBE-GGA.

```
data_Pm4RuSe2Cl
_chemical_formula_sum 'Pm4 Ru1 Se2 Cl1'
_cell_length_a 4.0669
_cell_length_b 7.3021
_cell_length_c 7.3722
_cell_angle_alpha 107.49
_cell_angle_beta 90.00
_cell_angle_gamma 90.00
_space_group_name_H-M_alt 'P 1'
_space_group_IT_number 1
loop_
_space_group_symop_operation_xyz
'x,y,z'
loop_
_atom_site_label
_atom_site_fract_x
_atom_site_fract_y
_atom_site_fract_z
_atom_site_occupancy
Se1 0.0000 0.5000 0.5000 1
Se2 0.5000 0.0000 0.5000 1
Cl1 0.0000 0.0000 0.0000 1
Pm1 0.0000 0.2733 0.7689 1
Pm2 0.5000 0.7282 0.7559 1
Pm3 0.5000 0.2718 0.2441 1
Pm4 0.0000 0.7267 0.2311 1
Ru1 0.5000 0.5000 0.0000 1
```

[3]
This record from the Alexandria database describes crystalline Zr2ReC at its relaxed geometry. The functional is PBE-GGA.

```
data_Zr2ReC
_chemical_formula_sum 'Zr4 Re2 C2'
_cell_length_a 6.6601
_cell_length_b 6.6601
_cell_length_c 5.6527
_cell_angle_alpha 53.91
_cell_angle_beta 53.91
_cell_angle_gamma 90.00
_space_group_name_H-M_alt 'P 1'
_space_group_IT_number 1
loop_
_space_group_symop_operation_xyz
'x,y,z'
loop_
_atom_site_label
_atom_site_fract_x
_atom_site_fract_y
_atom_site_fract_z
_atom_site_occupancy
Re1 0.7500 0.2500 0.5000 1
Re2 0.0000 0.0000 0.0000 1
C1 0.2500 0.7500 0.5000 1
C2 0.5000 0.5000 0.0000 1
Zr1 0.3750 0.4394 0.7500 1
Zr2 0.5606 0.1250 0.2500 1
Zr3 0.1894 0.6250 0.2500 1
Zr4 0.8750 0.8106 0.7500 1
```

Results
Energy relative to the elements = 488 meV per atom

Calculated raw total energy (eV per atom), listed in the same order as above: -4.69; -5.94; -9.20